# 1
{
  "formula": "Pr7C3Br10",
  "functional": "PBE",
  "state": "optimized geometry",
  "density_g_cm3": 4.95,
  "crystal_system": "triclinic",
  "space_group": "No. 2",
  "lattice_angstrom": [[9.2372, 0.0000, 0.0000], [4.4483, 10.2917, 0.0000], [4.1484, -0.8274, 12.8661]],
  "species": ["Br", "Br", "Br", "Br", "Br", "Br", "Br", "Br", "Br", "Br", "Br", "Br", "Br", "Br", "Br", "Br", "Br", "Br", "Br", "Br", "C", "C", "C", "C", "C", "C", "Pr", "Pr", "Pr", "Pr", "Pr", "Pr", "Pr", "Pr", "Pr", "Pr", "Pr", "Pr", "Pr", "Pr"],
  "fractional_positions": [[0.6803, 0.4218, 0.8778], [0.6696, 0.5454, 0.5650], [0.5179, 0.9378, 0.6335], [0.5591, 0.8101, 0.9650], [0.7685, 0.1582, 0.4840], [0.3304, 0.4546, 0.4350], [0.4821, 0.0622, 0.3665], [0.8204, 0.0264, 0.7740], [0.3197, 0.5782, 0.1222], [0.0572, 0.3650, 0.2969], [0.9428, 0.6350, 0.7031], [0.8898, 0.8942, 0.0934], [0.1102, 0.1058, 0.9066], [0.7184, 0.2814, 0.1703], [0.1796, 0.9736, 0.2260], [0.2816, 0.7186, 0.8297], [0.4409, 0.1899, 0.0350], [0.2315, 0.8418, 0.5160], [0.0561, 0.2545, 0.6271], [0.9439, 0.7455, 0.3729], [0.6426, 0.6098, 0.2779], [0.6053, 0.7298, 0.2324], [0.3947, 0.2702, 0.7676], [0.3574, 0.3902, 0.7221], [0.0182, 0.4399, 0.0227], [0.9818, 0.5601, 0.9773], [0.4059, 0.2198, 0.5796], [0.6786, 0.2915, 0.6891], [0.6877, 0.5484, 0.0787], [0.9404, 0.6172, 0.1790], [0.3214, 0.7085, 0.3109], [0.5941, 0.7802, 0.4204], [0.9275, 0.7547, 0.8998], [0.3050, 0.5820, 0.6375], [0.4686, 0.0656, 0.8303], [0.0725, 0.2453, 0.1002], [0.6950, 0.4180, 0.3625], [0.3123, 0.4516, 0.9213], [0.5314, 0.9344, 0.1697], [0.0596, 0.3828, 0.8210]]
}

---

# 2
{
  "formula": "LuCuPb2",
  "functional": "PBE",
  "state": "optimized geometry",
  "density_g_cm3": 10.72,
  "crystal_system": "cubic",
  "space_group": "No. 216",
  "lattice_angstrom": [[-3.4154, -2.6590, 2.9346], [-3.8406, 2.5338, 2.4853], [-4.9507, -0.5434, -1.5947]],
  "species": ["Cu", "Pb", "Pb", "Lu"],
  "fractional_positions": [[0.2500, 0.2500, 0.2500], [0.7500, 0.7500, 0.7500], [0.0000, 0.0000, 0.0000], [0.5000, 0.5000, 0.5000]]
}

---

no.,magnetic moment (Bohr magnetons per cell),E (eV/atom)
1,0.00,-5.35
2,0.00,-3.83